[1]
A plane-wave DFT calculation with PBE-GGA was carried out for a relaxed structure of Tb7DyHo5.

Computed properties:
Its space group is Imm2 (44). The calculation puts the total magnetization at 0.0 μB/f.u. Its formation energy is 0.26 eV/atom. The calculation puts the volume at 32.63 Å³/atom. For the offset from the most stable computed form, the calculation gives 2.7 kJ/mol of formula units. As for the density of states at the Fermi level: 1.8866 states/eV/atom. The total energy is -4.353 eV per atom.

Unit cell a=8.659 b=8.659 c=8.659 alpha=134.97 beta=99.94 gamma=96.93
Fractional coordinates of all 13 atoms:
Tb 0.000 0.000 0.000
Tb 0.078 0.750 0.329
Tb 0.307 0.307 0.000
Tb 0.421 0.750 0.671
Tb 0.501 0.001 0.500
Tb 0.580 0.251 0.329
Tb 0.922 0.251 0.671
Dy 0.693 0.693 0.000
Ho 0.000 0.500 0.500
Ho 0.272 0.267 0.539
Ho 0.272 0.734 0.005
Ho 0.729 0.267 0.995
Ho 0.729 0.734 0.461

[2]
A plane-wave DFT calculation with PBE-GGA was carried out for a relaxed structure of Tb7DyHo2.

Computed properties:
Its space group is Cmmm (65). The calculation puts the total magnetization at 0.0 μB/f.u. Its formation energy is 0.69 eV/atom. The calculation puts the volume at 38.76 Å³/atom. For the offset from the most stable computed form, the calculation gives 649.3 kJ/mol of formula units. As for the density of states at the Fermi level: 1.3198 states/eV/atom. The total energy is -3.927 eV per atom.

Unit cell a=9.483 b=9.483 c=5.297 alpha=90.00 beta=90.00 gamma=125.54
Fractional coordinates of all 10 atoms:
Tb 0.000 0.000 0.000
Tb 0.211 0.432 0.000
Tb 0.299 0.701 0.500
Tb 0.432 0.211 0.000
Tb 0.568 0.789 0.000
Tb 0.701 0.299 0.500
Tb 0.789 0.568 0.000
Dy 0.500 0.500 0.500
Ho 0.202 0.798 0.000
Ho 0.798 0.202 0.000

[3]
A plane-wave DFT calculation with PBE-GGA was carried out for a relaxed structure of Tb2DyHo7.

Computed properties:
Its space group is Cmmm (65). The calculation puts the total magnetization at 0.0 μB/f.u. Its formation energy is 0.70 eV/atom. The calculation puts the volume at 37.86 Å³/atom. For the offset from the most stable computed form, the calculation gives 656.0 kJ/mol of formula units. As for the density of states at the Fermi level: 1.2009 states/eV/atom. The total energy is -3.891 eV per atom.

Unit cell a=9.622 b=9.622 c=5.109 alpha=90.00 beta=90.00 gamma=126.84
Fractional coordinates of all 10 atoms:
Tb 0.201 0.799 0.000
Tb 0.799 0.201 0.000
Dy 0.500 0.500 0.500
Ho 0.000 0.000 0.000
Ho 0.213 0.428 0.000
Ho 0.305 0.695 0.500
Ho 0.428 0.213 0.000
Ho 0.572 0.787 0.000
Ho 0.695 0.305 0.500
Ho 0.787 0.572 0.000

[4]
A plane-wave DFT calculation with PBE-GGA was carried out for a relaxed structure of Tb4DyHo10.

Computed properties:
Its space group is I4/m (87). The calculation puts the total magnetization at 0.0 μB/f.u. Its formation energy is 0.74 eV/atom. The calculation puts the volume at 37.13 Å³/atom. As for the density of states at the Fermi level: 1.1017 states/eV/atom. The total energy is -3.858 eV per atom.

Unit cell a=9.356 b=9.356 c=9.356 alpha=99.58 beta=99.58 gamma=131.85
Fractional coordinates of all 15 atoms:
Tb 0.101 0.701 0.801
Tb 0.299 0.101 0.400
Tb 0.701 0.899 0.600
Tb 0.899 0.299 0.199
Dy 0.500 0.500 0.000
Ho 0.050 0.350 0.899
Ho 0.151 0.050 0.700
Ho 0.250 0.750 0.500
Ho 0.350 0.451 0.300
Ho 0.451 0.151 0.101
Ho 0.549 0.849 0.899
Ho 0.650 0.549 0.700
Ho 0.750 0.250 0.500
Ho 0.849 0.950 0.300
Ho 0.950 0.650 0.101

[5]
A plane-wave DFT calculation with PBE-GGA was carried out for a relaxed structure of Tb2DyHo7.

Computed properties:
Its space group is P-1 (2). The calculation puts the total magnetization at 0.0 μB/f.u. Its formation energy is 0.02 eV/atom. The calculation puts the volume at 30.98 Å³/atom. For the offset from the most stable computed form, the calculation gives 0.0 kJ/mol of formula units. As for the density of states at the Fermi level: 1.4340 states/eV/atom. The total energy is -4.571 eV per atom.

Unit cell a=6.101 b=6.112 c=9.318 alpha=102.61 beta=109.02 gamma=99.56
Fractional coordinates of all 10 atoms:
Tb 0.100 0.000 0.200
Tb 0.900 0.000 0.800
Dy 0.500 0.500 0.500
Ho 0.100 0.500 0.700
Ho 0.300 0.000 0.600
Ho 0.300 0.500 0.100
Ho 0.500 0.000 0.000
Ho 0.700 0.000 0.400
Ho 0.700 0.500 0.900
Ho 0.900 0.500 0.300

[6]
A plane-wave DFT calculation with PBE-GGA was carried out for a relaxed structure of TbDy6Ho2.

Computed properties:
Its space group is R3m (160). The calculation puts the total magnetization at 0.0 μB/f.u. Its formation energy is 0.39 eV/atom. The calculation puts the volume at 34.50 Å³/atom. For the offset from the most stable computed form, the calculation gives 325.6 kJ/mol of formula units. As for the density of states at the Fermi level: 1.4324 states/eV/atom. The total energy is -4.208 eV per atom.

Unit cell a=8.451 b=8.451 c=8.451 alpha=48.50 beta=48.50 gamma=48.50
Fractional coordinates of all 9 atoms:
Tb 0.000 0.000 0.000
Dy 0.232 0.719 0.719
Dy 0.437 0.945 0.945
Dy 0.719 0.232 0.719
Dy 0.719 0.719 0.232
Dy 0.945 0.437 0.945
Dy 0.945 0.945 0.437
Ho 0.248 0.248 0.248
Ho 0.413 0.413 0.413

[7]
A plane-wave DFT calculation with PBE-GGA was carried out for a relaxed structure of Tb5Dy4Ho2.

Computed properties:
Its space group is C2/m (12). The calculation puts the total magnetization at 0.0 μB/f.u. Its formation energy is 0.07 eV/atom. The calculation puts the volume at 31.67 Å³/atom. For the offset from the most stable computed form, the calculation gives 0.0 kJ/mol of formula units. As for the density of states at the Fermi level: 1.3344 states/eV/atom. The total energy is -4.545 eV per atom.

Unit cell a=11.182 b=11.182 c=9.115 alpha=107.55 beta=107.55 gamma=18.72
Fractional coordinates of all 11 atoms:
Tb 0.000 0.000 0.000
Tb 0.262 0.262 0.335
Tb 0.374 0.374 0.772
Tb 0.626 0.626 0.228
Tb 0.738 0.738 0.665
Dy 0.169 0.169 0.930
Dy 0.476 0.476 0.290
Dy 0.524 0.524 0.710
Dy 0.831 0.831 0.070
Ho 0.104 0.104 0.529
Ho 0.896 0.896 0.471

[8]
A plane-wave DFT calculation with PBE-GGA was carried out for a relaxed structure of TbDy9Ho2.

Computed properties:
Its space group is P4/mmm (123). The calculation puts the total magnetization at 0.0 μB/f.u. Its formation energy is 0.02 eV/atom. The calculation puts the volume at 31.21 Å³/atom. For the offset from the most stable computed form, the calculation gives 0.0 kJ/mol of formula units. As for the density of states at the Fermi level: 1.4820 states/eV/atom. The total energy is -4.580 eV per atom.

Unit cell a=4.997 b=4.997 c=14.998 alpha=90.00 beta=90.00 gamma=90.00
Fractional coordinates of all 12 atoms:
Tb 0.000 0.000 0.000
Dy 0.000 0.500 0.167
Dy 0.000 0.500 0.500
Dy 0.000 0.500 0.833
Dy 0.500 0.000 0.167
Dy 0.500 0.000 0.500
Dy 0.500 0.000 0.833
Dy 0.500 0.500 0.000
Dy 0.500 0.500 0.334
Dy 0.500 0.500 0.666
Ho 0.000 0.000 0.334
Ho 0.000 0.000 0.666

[9]
A plane-wave DFT calculation with PBE-GGA was carried out for a relaxed structure of Tb2DyHo8.

Computed properties:
Its space group is C2/m (12). The calculation puts the total magnetization at 0.0 μB/f.u. Its formation energy is 0.02 eV/atom. The calculation puts the volume at 30.94 Å³/atom. For the offset from the most stable computed form, the calculation gives 0.0 kJ/mol of formula units. As for the density of states at the Fermi level: 1.2873 states/eV/atom. The total energy is -4.571 eV per atom.

Unit cell a=9.326 b=9.326 c=7.887 alpha=104.72 beta=104.72 gamma=30.96
Fractional coordinates of all 11 atoms:
Tb 0.227 0.227 0.137
Tb 0.773 0.773 0.863
Dy 0.500 0.500 0.500
Ho 0.045 0.045 0.227
Ho 0.136 0.136 0.681
Ho 0.318 0.318 0.591
Ho 0.409 0.409 0.045
Ho 0.591 0.591 0.955
Ho 0.682 0.682 0.409
Ho 0.864 0.864 0.319
Ho 0.955 0.955 0.773

[10]
A plane-wave DFT calculation with PBE-GGA was carried out for a relaxed structure of Tb3Dy2Ho.

Computed properties:
Its space group is Cmcm (63). The calculation puts the total magnetization at 0.0 μB/f.u. Its formation energy is 0.00 eV/atom. The calculation puts the volume at 31.30 Å³/atom. As for the density of states at the Fermi level: 1.1578 states/eV/atom. The total energy is -4.613 eV per atom.

Unit cell a=6.154 b=6.154 c=11.454 alpha=90.00 beta=90.00 gamma=59.99
Fractional coordinates of all 12 atoms:
Tb 0.000 0.000 0.000
Tb 0.000 0.000 0.500
Tb 0.334 0.334 0.000
Tb 0.334 0.334 0.500
Tb 0.666 0.666 0.000
Tb 0.666 0.666 0.500
Dy 0.000 0.333 0.250
Dy 0.000 0.667 0.750
Dy 0.333 0.000 0.750
Dy 0.667 0.000 0.250
Ho 0.333 0.667 0.250
Ho 0.667 0.333 0.750